[1]
A plane-wave DFT calculation with PBE was carried out for a geometry-optimized Tl2Cd15Sn2 structure.

As for the density of states at the Fermi level: 22.48 states/eV/cell. As for the formation energy from the elements: 0.037 eV per atom. The final energy is -77.3 eV per cell.

It has space group R-3m (No. 166, hexagonal axes), with a = 10.5792 Å, b = 10.5792 Å, c = 14.8082 Å, α = 90.00°, β = 90.00° and γ = 120.00°. The distinct sites, in fractional coordinates, are Tl at (0.0000, 0.0000, 0.1520), Cd at (0.0000, 0.3068, 0.5000), Cd at (0.0000, 0.5000, 0.0000), Cd at (0.0129, 0.5065, 0.6512) and Sn at (0.0000, 0.0000, 0.3962).

=====

[2]
A plane-wave DFT calculation with PBE was carried out for a geometry-optimized Tl5Cd2Sn5 structure.

As for the density of states at the Fermi level: 10.84 states/eV/cell. As for the formation energy from the elements: 0.067 eV per atom. The final energy is -65.7 eV per cell.

It has space group C2/m (No. 12), with a = 15.857 Å, b = 5.371 Å, c = 9.981 Å, α = 90.00°, β = 122.86° and γ = 90.00°. The distinct sites, in fractional coordinates, are Tl at (0.000, 0.000, 0.000), Tl at (0.157, 0.000, 0.415), Tl at (0.249, 0.000, 0.114), Cd at (0.025, 0.500, 0.823), Sn at (0.000, 0.500, 0.500), Sn at (0.091, 0.000, 0.697) and Sn at (0.171, 0.500, 0.192).

=====

[3]
A plane-wave DFT calculation with PBE was carried out for a geometry-optimized TlCdSn2 structure.

As for the density of states at the Fermi level: 1.57 states/eV/cell. As for the formation energy from the elements: 0.064 eV per atom. The final energy is -11.0 eV per cell.

It has space group P4/mmm (No. 123), with a = 4.704 Å, b = 4.704 Å, c = 4.942 Å, α = 90.00°, β = 90.00° and γ = 90.00°. The distinct sites, in fractional coordinates, are Tl at (0.000, 0.000, 0.000), Cd at (0.500, 0.500, 0.000) and Sn at (0.000, 0.500, 0.500).